Record 1
The following is a PBE calculation of crystalline K2PtAuI6 at its relaxed geometry, from Alexandria.

Computed properties:
Uncorrected formation energy   -615 meV per atom
Calculated total energy   -2.6963 eV/atom

abc: 7.7543 8.0184 11.9398
angles: 90.00 88.72 90.00
Element x y z (fractional)
K 0.0264 0.9365 0.2516
K 0.5264 0.5635 0.7516
K 0.9736 0.0635 0.7484
K 0.4736 0.4365 0.2484
Pt 0.5000 0.0000 0.5000
Pt 0.0000 0.5000 0.0000
Au 0.5000 0.0000 0.0000
Au 0.0000 0.5000 0.5000
I 0.2870 0.6953 0.0275
I 0.7870 0.8047 0.5275
I 0.7130 0.3047 0.9725
I 0.2130 0.1953 0.4725
I 0.2931 0.6990 0.4812
I 0.7931 0.8010 0.9812
I 0.7069 0.3010 0.5188
I 0.2069 0.1990 0.0188
I 0.9495 0.4896 0.2250
I 0.4495 0.0104 0.7250
I 0.0505 0.5104 0.7750
I 0.5505 0.9896 0.2750

---

Record 2
The following is a PBE calculation of crystalline KRb2AuI6 at its relaxed geometry, from Alexandria.

Computed properties:
Uncorrected formation energy   -771 meV per atom
Calculated total energy   -2.3323 eV/atom

abc: 8.8892 8.8892 8.7204
angles: 59.36 59.36 90.00
Element x y z (fractional)
I 0.2237 0.2237 0.5526
I 0.7763 0.7763 0.4474
I 0.2349 0.2349 0.0000
I 0.7651 0.7651 0.0000
I 0.7651 0.2349 0.0000
I 0.2349 0.7651 0.0000
K 0.5000 0.5000 0.0000
Au 0.0000 0.0000 0.0000
Rb 0.7500 0.2500 0.5000
Rb 0.2500 0.7500 0.5000